A relaxed structure of BaV2TcO8. Source: Alexandria, functional PBE with a Hubbard U.

The structure in POSCAR format:
```
BaV2TcO8
1.0
-1.9699 1.3259 -5.0639
2.7632 -4.8037 0.7560
-6.2807 -3.3670 1.5616
V O Ba Tc
2 8 1 1
Direct
0.3333 0.6667 0.7383 V
0.6667 0.3333 0.2617 V
0.3209 0.1961 0.3320 O
0.6667 0.3333 0.0311 O
0.8752 0.6791 0.3320 O
0.3333 0.6667 0.9689 O
0.1961 0.8752 0.6680 O
0.6791 0.8039 0.6680 O
0.1248 0.3209 0.6680 O
0.8039 0.1248 0.3320 O
0.0000 0.0000 0.0000 Ba
0.0000 0.0000 0.5000 Tc
```

Calculated values
As for the energy: -7.57 eV per atom. The volume is 197.6 Å³/cell. As for the space-group type: P-3, No. 147.